Material: CsZnCo2S
Method: DFT, PBE
State: relaxed Values from VASP.

Computed properties:
Symmetry: P4/mmm
Total DFT energy (no corrections) (eV/atom): -2.03
E_form (uncorrected) (eV per atom): 2.06

Cell and atoms, written as Quantum ESPRESSO input:
```
&SYSTEM
  ibrav = 0, nat = 5, ntyp = 4
/
ATOMIC_SPECIES
Cs 132.91 Cs.upf
Zn 65.41 Zn.upf
Co 58.93 Co.upf
S 32.06 S.upf
ATOMIC_POSITIONS crystal
Cs 0.000 0.000 0.000
Zn 0.500 0.500 0.500
Co 0.000 0.500 0.000
Co 0.500 0.000 0.000
S 0.000 0.000 0.500
CELL_PARAMETERS angstrom
4.908 0.000 0.000
0.000 4.908 0.000
0.000 0.000 5.914
```

---

Material: CsCoSb2
Method: DFT, PBE
State: relaxed Values from VASP.

Computed properties:
Symmetry: R-3m
Total DFT energy (no corrections) (eV/atom): -4.21
Excess energy over the best structure of this formula in the dataset (eV per atom): 0.0000
E_form (uncorrected) (eV per atom): -0.16

Cell and atoms, written as Quantum ESPRESSO input:
```
&SYSTEM
  ibrav = 0, nat = 4, ntyp = 3
/
ATOMIC_SPECIES
Cs 132.91 Cs.upf
Co 58.93 Co.upf
Sb 121.76 Sb.upf
ATOMIC_POSITIONS crystal
Cs 0.000 0.000 0.000
Co 0.500 0.500 0.500
Sb 0.210 0.210 0.210
Sb 0.790 0.790 0.790
CELL_PARAMETERS angstrom
2.079 1.201 7.892
-2.079 1.201 7.892
0.000 -2.401 7.892
```

---

Material: CsCoSb2
Method: DFT, PBE
State: relaxed Values from VASP.

Computed properties:
Symmetry: Fm-3m
Total DFT energy (no corrections) (eV/atom): -3.27
Excess energy over the best structure of this formula in the dataset (eV per atom): 0.9432
E_form (uncorrected) (eV per atom): 0.78

Cell and atoms, written as Quantum ESPRESSO input:
```
&SYSTEM
  ibrav = 0, nat = 4, ntyp = 3
/
ATOMIC_SPECIES
Cs 132.91 Cs.upf
Co 58.93 Co.upf
Sb 121.76 Sb.upf
ATOMIC_POSITIONS crystal
Cs 0.000 0.000 0.000
Co 0.500 0.500 0.500
Sb 0.250 0.250 0.250
Sb 0.750 0.750 0.750
CELL_PARAMETERS angstrom
0.000 3.814 3.814
3.814 0.000 3.814
3.814 3.814 0.000
```

---

Material: CsCoSb3
Method: DFT, PBE
State: relaxed Values from VASP.

Computed properties:
Symmetry: Pm-3m
Total DFT energy (no corrections) (eV/atom): -1.92
Excess energy over the best structure of this formula in the dataset (eV per atom): 1.9277
E_form (uncorrected) (eV per atom): 2.15

Cell and atoms, written as Quantum ESPRESSO input:
```
&SYSTEM
  ibrav = 0, nat = 5, ntyp = 3
/
ATOMIC_SPECIES
Cs 132.91 Cs.upf
Co 58.93 Co.upf
Sb 121.76 Sb.upf
ATOMIC_POSITIONS crystal
Cs 0.000 0.000 0.000
Co 0.500 0.500 0.500
Sb 0.000 0.000 0.500
Sb 0.000 0.500 0.000
Sb 0.500 0.000 0.000
CELL_PARAMETERS angstrom
6.132 0.000 0.000
0.000 6.132 0.000
0.000 0.000 6.132
```

---

Material: CsCoSb3
Method: DFT, PBE
State: relaxed Values from VASP.

Computed properties:
Symmetry: Pm-3m
Total DFT energy (no corrections) (eV/atom): -3.85
Excess energy over the best structure of this formula in the dataset (eV per atom): 0.0000
E_form (uncorrected) (eV per atom): 0.22

Cell and atoms, written as Quantum ESPRESSO input:
```
&SYSTEM
  ibrav = 0, nat = 5, ntyp = 3
/
ATOMIC_SPECIES
Cs 132.91 Cs.upf
Co 58.93 Co.upf
Sb 121.76 Sb.upf
ATOMIC_POSITIONS crystal
Cs 0.000 0.000 0.000
Co 0.500 0.500 0.500
Sb 0.000 0.500 0.500
Sb 0.500 0.000 0.500
Sb 0.500 0.500 0.000
CELL_PARAMETERS angstrom
5.270 0.000 0.000
0.000 5.270 0.000
0.000 0.000 5.270
```

---

Material: Cs2CoSb
Method: DFT, PBE
State: relaxed Values from VASP.

Computed properties:
Symmetry: Fm-3m
Total DFT energy (no corrections) (eV/atom): -2.45
E_form (uncorrected) (eV per atom): 0.78

Cell and atoms, written as Quantum ESPRESSO input:
```
&SYSTEM
  ibrav = 0, nat = 4, ntyp = 3
/
ATOMIC_SPECIES
Cs 132.91 Cs.upf
Co 58.93 Co.upf
Sb 121.76 Sb.upf
ATOMIC_POSITIONS crystal
Cs 0.250 0.250 0.250
Cs 0.750 0.750 0.750
Co 0.000 0.000 0.000
Sb 0.500 0.500 0.500
CELL_PARAMETERS angstrom
0.000 4.482 4.482
4.482 0.000 4.482
4.482 4.482 0.000
```

---

Material: CsCoSb
Method: DFT, PBE
State: relaxed Values from VASP.

Computed properties:
Symmetry: P-1
Total DFT energy (no corrections) (eV/atom): -4.09
E_form (uncorrected) (eV per atom): -0.07

Cell and atoms, written as Quantum ESPRESSO input:
```
&SYSTEM
  ibrav = 0, nat = 6, ntyp = 3
/
ATOMIC_SPECIES
Cs 132.91 Cs.upf
Co 58.93 Co.upf
Sb 121.76 Sb.upf
ATOMIC_POSITIONS crystal
Cs 0.103 0.314 0.208
Cs 0.897 0.686 0.792
Co 0.212 0.926 0.425
Co 0.788 0.074 0.575
Sb 0.365 0.176 0.730
Sb 0.635 0.824 0.270
CELL_PARAMETERS angstrom
4.399 0.000 0.000
-0.003 7.014 0.000
-2.199 -1.888 7.003
```

---

Material: Cs2CoSb2
Method: DFT, PBE
State: relaxed Values from VASP.

Computed properties:
Symmetry: P4/mbm
Total DFT energy (no corrections) (eV/atom): -3.41
E_form (uncorrected) (eV per atom): 0.01

Cell and atoms, written as Quantum ESPRESSO input:
```
&SYSTEM
  ibrav = 0, nat = 10, ntyp = 3
/
ATOMIC_SPECIES
Cs 132.91 Cs.upf
Co 58.93 Co.upf
Sb 121.76 Sb.upf
ATOMIC_POSITIONS crystal
Cs 0.175 0.325 0.000
Cs 0.325 0.825 0.000
Cs 0.675 0.175 0.000
Cs 0.825 0.675 0.000
Co 0.000 0.000 0.500
Co 0.500 0.500 0.500
Sb 0.153 0.653 0.500
Sb 0.347 0.153 0.500
Sb 0.653 0.847 0.500
Sb 0.847 0.347 0.500
CELL_PARAMETERS angstrom
7.023 0.000 0.000
0.000 7.023 0.000
0.000 0.000 6.538
```

---

Material: CsCoSb2Te
Method: DFT, PBE
State: relaxed Values from VASP.

Computed properties:
Symmetry: P4/mmm
Total DFT energy (no corrections) (eV/atom): -1.87
Excess energy over the best structure of this formula in the dataset (eV per atom): 1.9421
E_form (uncorrected) (eV per atom): 2.00

Cell and atoms, written as Quantum ESPRESSO input:
```
&SYSTEM
  ibrav = 0, nat = 5, ntyp = 4
/
ATOMIC_SPECIES
Cs 132.91 Cs.upf
Co 58.93 Co.upf
Sb 121.76 Sb.upf
Te 127.60 Te.upf
ATOMIC_POSITIONS crystal
Cs 0.000 0.000 0.000
Co 0.500 0.500 0.500
Sb 0.000 0.500 0.000
Sb 0.500 0.000 0.000
Te 0.000 0.000 0.500
CELL_PARAMETERS angstrom
6.247 0.000 0.000
0.000 6.247 0.000
0.000 0.000 6.350
```

---

Material: CsCoSb2Te
Method: DFT, PBE
State: relaxed Values from VASP.

Computed properties:
Symmetry: P4/mmm
Total DFT energy (no corrections) (eV/atom): -3.81
Excess energy over the best structure of this formula in the dataset (eV per atom): 0.0000
E_form (uncorrected) (eV per atom): 0.06

Cell and atoms, written as Quantum ESPRESSO input:
```
&SYSTEM
  ibrav = 0, nat = 5, ntyp = 4
/
ATOMIC_SPECIES
Cs 132.91 Cs.upf
Co 58.93 Co.upf
Sb 121.76 Sb.upf
Te 127.60 Te.upf
ATOMIC_POSITIONS crystal
Cs 0.000 0.000 0.000
Co 0.500 0.500 0.500
Sb 0.000 0.500 0.500
Sb 0.500 0.000 0.500
Te 0.500 0.500 0.000
CELL_PARAMETERS angstrom
5.019 0.000 0.000
0.000 5.019 0.000
0.000 0.000 5.963
```

---

Material: CsSc2Co2
Method: DFT, PBE
State: relaxed Values from VASP.

Computed properties:
Symmetry: I4/mmm
Total DFT energy (no corrections) (eV/atom): -5.17
Excess energy over the best structure of this formula in the dataset (eV per atom): 0.0000

Cell and atoms, written as Quantum ESPRESSO input:
```
&SYSTEM
  ibrav = 0, nat = 5, ntyp = 3
/
ATOMIC_SPECIES
Cs 132.91 Cs.upf
Sc 44.96 Sc.upf
Co 58.93 Co.upf
ATOMIC_POSITIONS crystal
Cs 0.000 0.000 0.000
Sc 0.330 0.330 0.000
Sc 0.670 0.670 0.000
Co 0.250 0.750 0.500
Co 0.750 0.250 0.500
CELL_PARAMETERS angstrom
-1.794 1.794 10.974
1.794 -1.794 10.974
1.794 1.794 -10.974
```

---

Material: CsScCo3
Method: DFT, PBE
State: relaxed Values from VASP.

Computed properties:
Symmetry: Pm-3m
Total DFT energy (no corrections) (eV/atom): -3.67

Cell and atoms, written as Quantum ESPRESSO input:
```
&SYSTEM
  ibrav = 0, nat = 5, ntyp = 3
/
ATOMIC_SPECIES
Cs 132.91 Cs.upf
Sc 44.96 Sc.upf
Co 58.93 Co.upf
ATOMIC_POSITIONS crystal
Cs 0.000 0.000 0.000
Sc 0.500 0.500 0.500
Co 0.000 0.000 0.500
Co 0.000 0.500 0.000
Co 0.500 0.000 0.000
CELL_PARAMETERS angstrom
4.672 0.000 0.000
0.000 4.672 0.000
0.000 0.000 4.672
```

---

Copy entry 11 word for word.
Material: CsSc2Co2
Method: DFT, PBE
State: relaxed Values from VASP.

Computed properties:
Symmetry: I4/mmm
Total DFT energy (no corrections) (eV/atom): -5.17
Excess energy over the best structure of this formula in the dataset (eV per atom): 0.0000

Cell and atoms, written as Quantum ESPRESSO input:
```
&SYSTEM
  ibrav = 0, nat = 5, ntyp = 3
/
ATOMIC_SPECIES
Cs 132.91 Cs.upf
Sc 44.96 Sc.upf
Co 58.93 Co.upf
ATOMIC_POSITIONS crystal
Cs 0.000 0.000 0.000
Sc 0.330 0.330 0.000
Sc 0.670 0.670 0.000
Co 0.250 0.750 0.500
Co 0.750 0.250 0.500
CELL_PARAMETERS angstrom
-1.794 1.794 10.974
1.794 -1.794 10.974
1.794 1.794 -10.974
```